## TbDy2Tm (PBE)

Data for a geometry-optimized TbDy2Tm structure.

Results
Its energy above the most stable polymorph in this dataset is 0.0000 eV/atom. Its formation energy is 0.005 eV/atom. The calculation puts the total magnetization at 0.00 Bohr magnetons per cell. The calculation puts the total energy at -4.572 eV per atom.

Lattice parameters (Å, degrees): 5.5915 7.2203 6.2380 90.00 90.00 90.00
Positions (direct):
Tb: 0.2500 0.2500 0.1656
Tb: 0.7500 0.7500 0.8344
Dy: 0.2500 0.0006 0.6672
Dy: 0.2500 0.4994 0.6672
Dy: 0.7500 0.5006 0.3328
Dy: 0.7500 0.9994 0.3328
Tm: 0.2500 0.7500 0.1671
Tm: 0.7500 0.2500 0.8329

## Tb4DyTm (PBE)

Data for a geometry-optimized Tb4DyTm structure.

Results
Its energy above the most stable polymorph in this dataset is 0.0486 eV/atom. Its formation energy is 0.067 eV/atom. The calculation puts the total magnetization at 0.00 Bohr magnetons per cell. The calculation puts the total energy at -4.533 eV per atom.

Lattice parameters (Å, degrees): 11.8117 11.8117 11.8117 152.27 41.19 150.15
Positions (direct):
Tb: 0.0931 0.4244 0.6687
Tb: 0.1515 0.0627 0.0888
Tb: 0.2558 0.4244 0.8313
Tb: 0.4738 0.0627 0.4112
Tb: 0.5262 0.9373 0.5888
Tb: 0.7442 0.5756 0.1687
Tb: 0.8485 0.9373 0.9112
Tb: 0.9069 0.5756 0.3313
Dy: 0.0000 0.5000 0.5000
Dy: 0.5000 0.5000 0.0000
Tm: 0.3287 0.0787 0.2500
Tm: 0.6713 0.9213 0.7500

## Tb4Dy8Tm3 (PBE)

Data for a geometry-optimized Tb4Dy8Tm3 structure.

Results
Its energy above the most stable polymorph in this dataset is 0.0000 eV/atom. Its formation energy is 0.140 eV/atom. The calculation puts the total magnetization at 0.00 Bohr magnetons per cell. The calculation puts the total energy at -4.444 eV per atom.

Lattice parameters (Å, degrees): 12.3298 12.3298 12.3298 32.38 32.38 32.38
Positions (direct):
Tb: 0.0000 0.0000 0.0000
Tb: 0.1637 0.1637 0.1637
Tb: 0.5000 0.5000 0.5000
Tb: 0.8363 0.8363 0.8363
Dy: 0.2500 0.2500 0.7473
Dy: 0.2500 0.7473 0.2500
Dy: 0.2527 0.7500 0.7500
Dy: 0.2552 0.2552 0.2552
Dy: 0.7448 0.7448 0.7448
Dy: 0.7473 0.2500 0.2500
Dy: 0.7500 0.2527 0.7500
Dy: 0.7500 0.7500 0.2527
Tm: 0.0000 0.5000 0.5000
Tm: 0.5000 0.0000 0.5000
Tm: 0.5000 0.5000 0.0000

## Tb4DyTm2 (PBE)

Data for a geometry-optimized Tb4DyTm2 structure.

Results
Its energy above the most stable polymorph in this dataset is 0.0000 eV/atom. Its formation energy is 0.036 eV/atom. The calculation puts the total magnetization at 0.00 Bohr magnetons per cell. The calculation puts the total energy at -4.545 eV per atom.

Lattice parameters (Å, degrees): 8.4980 8.4980 8.6702 118.76 118.76 23.79
Positions (direct):
Tb: 0.1390 0.1390 0.3317
Tb: 0.2040 0.2040 0.7938
Tb: 0.7960 0.7960 0.2062
Tb: 0.8610 0.8610 0.6683
Dy: 0.5000 0.5000 0.5000
Tm: 0.4296 0.4296 0.0704
Tm: 0.5704 0.5704 0.9296

## TbDy2Tm4 (PBE)

Data for a geometry-optimized TbDy2Tm4 structure.

Results
Its energy above the most stable polymorph in this dataset is 0.0000 eV/atom. Its formation energy is 0.003 eV/atom. The calculation puts the total magnetization at 0.01 Bohr magnetons per cell. The calculation puts the total energy at -4.529 eV per atom.

Lattice parameters (Å, degrees): 19.6935 19.6935 19.6935 10.38 10.38 10.38
Positions (direct):
Tb: 0.0000 0.0000 0.0000
Dy: 0.8088 0.8088 0.8088
Dy: 0.9043 0.9043 0.9043
Tm: 0.0946 0.0946 0.0946
Tm: 0.1898 0.1898 0.1898
Tm: 0.6187 0.6187 0.6187
Tm: 0.7145 0.7145 0.7145

## TbDy5Tm3 (PBE)

Data for a geometry-optimized TbDy5Tm3 structure.

Results
Its energy above the most stable polymorph in this dataset is 0.2996 eV/atom. Its formation energy is 0.435 eV/atom. The calculation puts the total magnetization at 0.00 Bohr magnetons per cell. The calculation puts the total energy at -4.126 eV per atom.

Lattice parameters (Å, degrees): 9.2272 9.2272 12.1189 126.20 126.20 50.85
Positions (direct):
Tb: 0.2343 0.2343 0.1281
Tb: 0.7657 0.7657 0.8719
Dy: 0.1260 0.1260 0.5678
Dy: 0.1420 0.7296 0.2215
Dy: 0.2704 0.8580 0.7785
Dy: 0.2997 0.2997 0.9316
Dy: 0.3205 0.6795 0.0000
Dy: 0.6795 0.3205 0.0000
Dy: 0.7003 0.7003 0.0684
Dy: 0.7296 0.1420 0.2215
Dy: 0.8580 0.2704 0.7785
Dy: 0.8740 0.8740 0.4322
Tm: 0.0000 0.0000 0.0000
Tm: 0.1721 0.1721 0.3376
Tm: 0.3808 0.3808 0.6826
Tm: 0.5000 0.5000 0.5000
Tm: 0.6192 0.6192 0.3174
Tm: 0.8279 0.8279 0.6624